one | Below is a relaxed structure of SrIF, with properties calculated at the GGA-PBE level.

The calculation puts the theoretical density at 4.8 Mg/m³.

The space group is I4mm (No. 107) and the conventional cell measures 3.757, 3.757 and 11.464 Å, with angles of 90.00, 90.00 and 90.00 degrees. The inequivalent atoms are Sr at (0.000, 0.000, 0.000), I at (0.000, 0.000, 0.292) and F at (0.000, 0.000, 0.552).


two | Below is a relaxed structure of SrIF, with properties calculated at the GGA-PBE level.

The calculation puts the theoretical density at 4.4 Mg/m³.

The space group is P4/nmm (No. 129, origin choice 2) and the conventional cell measures 4.262, 4.262 and 9.643 Å, with angles of 90.00, 90.00 and 90.00 degrees. The inequivalent atoms are Sr at (0.250, 0.250, 0.142), I at (0.250, 0.250, 0.685) and F at (0.250, 0.750, 0.000).


three | Below is a relaxed structure of SrIF, with properties calculated at the GGA-PBE level.

The calculation puts the theoretical density at 4.8 Mg/m³.

The space group is P-6m2 (No. 187) and the conventional cell measures 4.2867, 4.2867 and 5.0814 Å, with angles of 90.00, 90.00 and 120.00 degrees. The inequivalent atoms are Sr at (0.0000, 0.0000, 0.0000), I at (0.6667, 0.3333, 0.5000) and F at (0.3333, 0.6667, 0.0000).


four | Below is a relaxed structure of SrIF, with properties calculated at the GGA-PBE level.

The calculation puts the theoretical density at 4.4 Mg/m³.

The space group is I4/mmm (No. 139) and the conventional cell measures 5.073, 5.073 and 13.580 Å, with angles of 90.00, 90.00 and 90.00 degrees. The inequivalent atoms are Sr at (0.000, 0.000, 0.167), I at (0.000, 0.500, 0.000) and F at (0.000, 0.500, 0.250).


two wins, 72 meV per atom ahead of the next structure.


one | Below is a relaxed structure of Sr2IF, with properties calculated at the GGA-PBE level.

The calculation puts the theoretical density at 3.5 Mg/m³.

The space group is I-42d (No. 122) and the conventional cell measures 6.981, 6.981 and 12.597 Å, with angles of 90.00, 90.00 and 90.00 degrees. The inequivalent atoms are Sr at (0.158, 0.250, 0.125), I at (0.000, 0.000, 0.500) and F at (0.000, 0.000, 0.000).


two | Below is a relaxed structure of Sr2IF, with properties calculated at the GGA-PBE level.

The calculation puts the theoretical density at 4.3 Mg/m³.

The space group is Fm-3m (No. 225) and the conventional cell measures 7.935, 7.935 and 7.935 Å, with angles of 90.00, 90.00 and 90.00 degrees. The inequivalent atoms are Sr at (0.250, 0.250, 0.250), I at (0.000, 0.000, 0.000) and F at (0.000, 0.000, 0.500).


one wins, 524 meV per atom ahead of the next structure.


one | Below is a relaxed structure of TaI2F, with properties calculated at the GGA-PBE level.

The calculation puts the theoretical density at 6.5 Mg/m³.

The space group is I-42d (No. 122) and the conventional cell measures 7.147, 7.147 and 9.050 Å, with angles of 90.00, 90.00 and 90.00 degrees. The inequivalent atoms are Ta at (0.000, 0.000, 0.000), I at (0.237, 0.250, 0.125) and F at (0.000, 0.000, 0.500).


two | Below is a relaxed structure of TaI2F, with properties calculated at the GGA-PBE level.

The calculation puts the theoretical density at 9.0 Mg/m³.

The space group is Fm-3m (No. 225) and the conventional cell measures 6.951, 6.951 and 6.951 Å, with angles of 90.00, 90.00 and 90.00 degrees. The inequivalent atoms are Ta at (0.000, 0.000, 0.000), I at (0.250, 0.250, 0.250) and F at (0.000, 0.000, 0.500).


two wins, 119 meV per atom ahead of the next structure.


one | Below is a relaxed structure of TaTeI2F, with properties calculated at the GGA-PBE level.

The calculation puts the theoretical density at 7.2 Mg/m³.

The space group is P4/mmm (No. 123) and the conventional cell measures 5.647, 5.647 and 4.233 Å, with angles of 90.00, 90.00 and 90.00 degrees. The inequivalent atoms are Ta at (0.000, 0.000, 0.000), Te at (0.500, 0.500, 0.000), I at (0.000, 0.500, 0.500) and F at (0.500, 0.500, 0.500).


two | Below is a relaxed structure of TaTeI2F, with properties calculated at the GGA-PBE level.

The calculation puts the theoretical density at 6.0 Mg/m³.

The space group is P4/mmm (No. 123) and the conventional cell measures 5.483, 5.483 and 5.327 Å, with angles of 90.00, 90.00 and 90.00 degrees. The inequivalent atoms are Ta at (0.000, 0.000, 0.000), Te at (0.000, 0.000, 0.500), I at (0.000, 0.500, 0.000) and F at (0.500, 0.500, 0.500).


two wins, 763 meV per atom ahead of the next structure.


one | Below is a relaxed structure of TcIF3, with properties calculated at the GGA-PBE level.

The calculation puts the theoretical density at 4.8 Mg/m³.

The space group is C2/c (No. 15) and the conventional cell measures 15.563, 8.147 and 6.391 Å, with angles of 90.00, 105.09 and 90.00 degrees. The inequivalent atoms are Tc at (0.163, 0.162, 0.330), I at (0.000, 0.109, 0.750), I at (0.000, 0.316, 0.250), F at (0.174, 0.017, 0.608), F at (0.177, 0.309, 0.113) and F at (0.195, 0.344, 0.556).


two | Below is a relaxed structure of TcIF3, with properties calculated at the GGA-PBE level.

The calculation puts the theoretical density at 4.5 Mg/m³.

The space group is Cmcm (No. 63) and the conventional cell measures 6.283, 11.840 and 5.600 Å, with angles of 90.00, 90.00 and 90.00 degrees. The inequivalent atoms are Tc at (0.000, 0.008, 0.250), I at (0.000, 0.226, 0.250), F at (0.000, 0.156, 0.750) and F at (0.242, 0.000, 0.000).


two wins, 59 meV per atom ahead of the next structure.


one | Below is a relaxed structure of TcI2F, with properties calculated at the GGA-PBE level.

The calculation puts the theoretical density at 8.3 Mg/m³.

The space group is Fm-3m (No. 225) and the conventional cell measures 6.659, 6.659 and 6.659 Å, with angles of 90.00, 90.00 and 90.00 degrees. The inequivalent atoms are Tc at (0.000, 0.000, 0.000), I at (0.250, 0.250, 0.250) and F at (0.000, 0.000, 0.500).


two | Below is a relaxed structure of TcI2F, with properties calculated at the GGA-PBE level.

The calculation puts the theoretical density at 5.4 Mg/m³.

The space group is I-42d (No. 122) and the conventional cell measures 6.651, 6.651 and 10.251 Å, with angles of 90.00, 90.00 and 90.00 degrees. The inequivalent atoms are Tc at (0.000, 0.000, 0.000), I at (0.219, 0.250, 0.125) and F at (0.000, 0.000, 0.500).


two wins, 33 meV per atom ahead of the next structure.


one | Below is a relaxed structure of Tc2IF, with properties calculated at the GGA-PBE level.

The calculation puts the theoretical density at 7.9 Mg/m³.

The space group is I-42d (No. 122) and the conventional cell measures 4.191, 4.191 and 16.351 Å, with angles of 90.00, 90.00 and 90.00 degrees. The inequivalent atoms are Tc at (0.143, 0.250, 0.125), I at (0.000, 0.000, 0.500) and F at (0.000, 0.000, 0.000).


two | Below is a relaxed structure of Tc2IF, with properties calculated at the GGA-PBE level.

The calculation puts the theoretical density at 9.3 Mg/m³.

The space group is Fm-3m (No. 225) and the conventional cell measures 6.247, 6.247 and 6.247 Å, with angles of 90.00, 90.00 and 90.00 degrees. The inequivalent atoms are Tc at (0.250, 0.250, 0.250), I at (0.000, 0.000, 0.000) and F at (0.000, 0.000, 0.500).


one wins, 319 meV per atom ahead of the next structure.


one | Below is a relaxed structure of TcTe2IF, with properties calculated at the GGA-PBE level.

The calculation puts the theoretical density at 5.9 Mg/m³.

The space group is P4/mmm (No. 123) and the conventional cell measures 4.665, 4.665 and 6.476 Å, with angles of 90.00, 90.00 and 90.00 degrees. The inequivalent atoms are Tc at (0.000, 0.000, 0.000), Te at (0.000, 0.500, 0.500), I at (0.500, 0.500, 0.000) and F at (0.500, 0.500, 0.500).


two | Below is a relaxed structure of TcTe2IF, with properties calculated at the GGA-PBE level.

The calculation puts the theoretical density at 5.7 Mg/m³.

The space group is P4/mmm (No. 123) and the conventional cell measures 5.120, 5.120 and 5.568 Å, with angles of 90.00, 90.00 and 90.00 degrees. The inequivalent atoms are Tc at (0.000, 0.000, 0.000), Te at (0.000, 0.500, 0.000), I at (0.000, 0.000, 0.500) and F at (0.500, 0.500, 0.500).


two wins, 401 meV per atom ahead of the next structure.


one | Below is a relaxed structure of TeI3F, with properties calculated at the GGA-PBE level.

The calculation puts the theoretical density at 4.2 Mg/m³.

The space group is Pm-3m (No. 221) and the conventional cell measures 5.934, 5.934 and 5.934 Å, with angles of 90.00, 90.00 and 90.00 degrees. The inequivalent atoms are Te at (0.000, 0.000, 0.000), I at (0.000, 0.000, 0.500) and F at (0.500, 0.500, 0.500).


two | Below is a relaxed structure of TeI3F, with properties calculated at the GGA-PBE level.

The calculation puts the theoretical density at 5.8 Mg/m³.

The space group is Pm-3m (No. 221) and the conventional cell measures 5.332, 5.332 and 5.332 Å, with angles of 90.00, 90.00 and 90.00 degrees. The inequivalent atoms are Te at (0.000, 0.000, 0.000), I at (0.000, 0.500, 0.500) and F at (0.500, 0.500, 0.500).


three | Below is a relaxed structure of TeI3F, with properties calculated at the GGA-PBE level.

The calculation puts the theoretical density at 3.5 Mg/m³.

The space group is P2/c (No. 13) and the conventional cell measures 4.493, 7.961 and 27.712 Å, with angles of 90.00, 93.80 and 90.00 degrees. The inequivalent atoms are Te at (0.183, 0.055, 0.114), I at (0.159, 0.282, 0.555), I at (0.197, 0.322, 0.179), I at (0.455, 0.191, 0.458) and F at (0.486, 0.053, 0.848).


three wins, 538 meV per atom ahead of the next structure.


one | Below is a relaxed structure of Te2IF, with properties calculated at the GGA-PBE level.

The calculation puts the theoretical density at 5.3 Mg/m³.

The space group is I-42d (No. 122) and the conventional cell measures 5.229, 5.229 and 18.505 Å, with angles of 90.00, 90.00 and 90.00 degrees. The inequivalent atoms are Te at (0.123, 0.250, 0.125), I at (0.000, 0.000, 0.500) and F at (0.000, 0.000, 0.000).


two | Below is a relaxed structure of Te2IF, with properties calculated at the GGA-PBE level.

The calculation puts the theoretical density at 5.8 Mg/m³.

The space group is R-3m (No. 166, hexagonal axes) and the conventional cell measures 4.4988, 4.4988 and 19.5479 Å, with angles of 90.00, 90.00 and 120.00 degrees. The inequivalent atoms are Te at (0.0000, 0.0000, 0.2032), I at (0.0000, 0.0000, 0.0000) and F at (0.0000, 0.0000, 0.5000).


two wins, 269 meV per atom ahead of the next structure.